PBE RhBr3, relaxed; symmetry = Pmm2 (25); energy relative to the elements, uncorrected = 0.84 eV/f.u.; calculated volume = 26.55 Å³/atom; theoretical density = 5.4 Mg/m³; M_tot = 0.000 μB/cell
1.0
3.030 0.000 0.000
0.000 3.567 0.000
0.000 0.000 9.826
Rh Br
1 3
direct
0.000 0.000 0.000
0.000 0.500 0.833
0.500 0.000 0.533
0.500 0.500 0.159

***

PBE BeCuTc2, relaxed; calculated total energy = -6.58 eV/atom; symmetry = I-42d (122); calculated volume = 13.87 Å³/atom; theoretical density = 8.0 Mg/m³; M_tot = 0.000 μB/cell
1.0
-1.765 1.765 8.902
1.765 -1.765 8.902
1.765 1.765 -8.902
Be Cu Tc
2 2 4
direct
0.000 0.000 0.000
0.750 0.250 0.500
0.250 0.750 0.500
0.500 0.500 0.000
0.109 0.625 0.984
0.375 0.359 0.484
0.641 0.125 0.016
0.875 0.891 0.516

***

PBE Na2PmSmSe4, relaxed; symmetry = P2/m (10); energy relative to the elements, uncorrected = -13.55 eV/f.u.; calculated volume = 27.35 Å³/atom; theoretical density = 5.0 Mg/m³; M_tot = 0.000 μB/cell
1.0
7.348 0.000 0.000
0.000 4.244 0.000
-2.449 0.000 7.017
Na Pm Sm Se
2 1 1 4
direct
0.000 0.000 0.000
0.500 0.500 0.000
0.000 0.500 0.500
0.500 0.000 0.500
0.246 0.000 0.734
0.256 0.500 0.266
0.744 0.500 0.734
0.754 0.000 0.266

***

PBE TlCuSn, relaxed; calculated total energy = -3.45 eV/atom; symmetry = P2_1 (4); calculated volume = 24.96 Å³/atom; theoretical density = 8.6 Mg/m³; M_tot = 0.000 μB/cell
1.0
5.012 0.000 0.000
0.000 4.215 0.000
-0.755 0.000 7.089
Tl Cu Sn
2 2 2
direct
0.215 0.000 0.356
0.785 0.500 0.644
0.140 0.499 0.025
0.860 0.999 0.975
0.345 0.999 0.843
0.655 0.499 0.157

***

PBE PmSm3Er6Tm2, relaxed; calculated total energy = -4.58 eV/atom; symmetry = C2/m (12); calculated volume = 31.43 Å³/atom; theoretical density = 8.5 Mg/m³; M_tot = 0.000 μB/cell
1.0
3.072 -5.318 0.000
3.072 5.318 0.000
-2.041 0.000 11.542
Pm Sm Er Tm
1 3 6 2
direct
0.000 0.000 0.000
0.167 0.833 0.500
0.500 0.500 0.500
0.833 0.167 0.500
0.083 0.417 0.248
0.251 0.251 0.752
0.417 0.083 0.248
0.583 0.917 0.752
0.749 0.749 0.248
0.917 0.583 0.752
0.333 0.667 0.000
0.667 0.333 0.000

***

PBE NaBe3Ge, relaxed; symmetry = Pm-3m (221); calculated volume = 16.73 Å³/atom; theoretical density = 2.4 Mg/m³; M_tot = 0.000 μB/cell; distance to the lowest polymorph of the same formula = 0 meV per atom
1.0
4.373 0.000 0.000
0.000 4.373 0.000
0.000 0.000 4.373
Na Be Ge
1 3 1
direct
0.000 0.000 0.000
0.000 0.500 0.500
0.500 0.000 0.500
0.500 0.500 0.000
0.500 0.500 0.500